Entry 1:
LaMoOs2 after structural relaxation. Source: the Alexandria database, functional GGA-PBE.

Cell: 3.0304 4.9478 9.6988 Å, 90.00 90.00 90.00°
Space group Immm (No. 71)
One atom of each set of equivalent atoms:
1 La 0.0000 0.0000 0.0000 x2
2 Mo 0.0000 0.0000 0.5000 x2
3 Os 0.0000 0.5000 0.2238 x4

Polymorph energy (0 for the lowest one): 0.436 eV per atom
Volume: 145.4 Å³ per cell


Entry 2:
La2MoOs after structural relaxation. Source: the Alexandria database, functional GGA-PBE.

Cell: 5.0838 5.0838 3.5889 Å, 90.00 90.00 90.00°
Space group P4/mmm (No. 123)
One atom of each set of equivalent atoms:
1 La 0.0000 0.5000 0.0000 x2
2 Mo 0.0000 0.0000 0.5000 x1
3 Os 0.5000 0.5000 0.5000 x1

Polymorph energy (0 for the lowest one): 0.447 eV per atom
Volume: 92.8 Å³ per cell


Entry 3:
La2MoOs after structural relaxation. Source: the Alexandria database, functional GGA-PBE.

Cell: 3.2065 3.2065 9.4125 Å, 90.00 90.00 90.00°
Space group P4mm (No. 99)
One atom of each set of equivalent atoms:
1 La 0.0000 0.0000 0.0000 x1
2 La 0.5000 0.5000 0.3809 x1
3 Mo 0.0000 0.0000 0.6245 x1
4 Os 0.5000 0.5000 0.7673 x1

Polymorph energy (0 for the lowest one): 0.087 eV per atom
Volume: 96.8 Å³ per cell


Entry 4:
La2MoOs after structural relaxation. Source: the Alexandria database, functional GGA-PBE.

Cell: 3.4810 3.4810 27.2666 Å, 90.00 90.00 120.00°
Space group R-3m (No. 166, hexagonal axes)
One atom of each set of equivalent atoms:
1 La 0.0000 0.0000 0.2460 x6
2 Mo 0.0000 0.0000 0.0000 x3
3 Os 0.0000 0.0000 0.5000 x3

Polymorph energy (0 for the lowest one): 0.700 eV per atom
Volume: 286.1 Å³ per cell


Formation enthalpy at 0 K values, unit kJ/mol of atoms, following the record order: 59.44 50.09 15.32 74.52.